Record 1
First-principles (GGA-PBE) data for a relaxed KScMn2Pt crystal, as listed in Alexandria via LeMat-Bulk.

a = 5.1349 Å, b = 5.1349 Å, c = 5.0206 Å
α = 90.00°, β = 90.00°, γ = 90.00°
Atoms (fractional coordinates):
K1 0.0000 0.0000 0.0000
Sc1 0.5000 0.5000 0.0000
Mn1 0.0000 0.5000 0.5000
Mn2 0.5000 0.0000 0.5000
Pt1 0.5000 0.5000 0.5000

Summary:
- magnetic moment (μB/atom) = 1.68
- space-group type = P4/mmm (123)
- mass density (g cm⁻³) = 4.88
- crystal system = tetragonal
- DFT formation energy (eV per formula unit) = 1.52



Record 2
First-principles (GGA-PBE) data for a relaxed KIr2Pt2 crystal, as listed in Alexandria via LeMat-Bulk.

a = 8.0995 Å, b = 8.0995 Å, c = 2.7074 Å
α = 90.00°, β = 90.00°, γ = 90.00°
Atoms (fractional coordinates):
K1 0.0000 0.0000 0.0000
K2 0.5000 0.5000 0.0000
Ir1 0.1143 0.3857 0.0000
Ir2 0.3857 0.8857 0.0000
Ir3 0.6143 0.1143 0.0000
Ir4 0.8857 0.6143 0.0000
Pt1 0.1850 0.6850 0.5000
Pt2 0.3150 0.1850 0.5000
Pt3 0.6850 0.8150 0.5000
Pt4 0.8150 0.3150 0.5000

Summary:
- magnetic moment (μB/atom) = 0.00
- space-group type = P4/mbm (127)
- mass density (g cm⁻³) = 15.22
- crystal system = tetragonal
- DFT formation energy (eV per formula unit) = 0.89



Please write out number 2 again, unchanged.
First-principles (GGA-PBE) data for a relaxed KIr2Pt2 crystal, as listed in Alexandria via LeMat-Bulk.

a = 8.0995 Å, b = 8.0995 Å, c = 2.7074 Å
α = 90.00°, β = 90.00°, γ = 90.00°
Atoms (fractional coordinates):
K1 0.0000 0.0000 0.0000
K2 0.5000 0.5000 0.0000
Ir1 0.1143 0.3857 0.0000
Ir2 0.3857 0.8857 0.0000
Ir3 0.6143 0.1143 0.0000
Ir4 0.8857 0.6143 0.0000
Pt1 0.1850 0.6850 0.5000
Pt2 0.3150 0.1850 0.5000
Pt3 0.6850 0.8150 0.5000
Pt4 0.8150 0.3150 0.5000

Summary:
- magnetic moment (μB/atom) = 0.00
- space-group type = P4/mbm (127)
- mass density (g cm⁻³) = 15.22
- crystal system = tetragonal
- DFT formation energy (eV per formula unit) = 0.89



- Which of these has the highest magnetic moment?
  KScMn2Pt



- What is the mass density in the second record?
  15.22 g cm⁻³



- mass density of number 1 (KScMn2Pt)?
  4.88 g cm⁻³